KH3S2O8 | PBEsol | relaxed

Cell lengths 7.6341, 11.3814, 8.7406 Å; angles 90.00, 112.57, 90.00 degrees
Closest atoms and distances in Å follow each position.
Sites, in units of the cell vectors:
1 K 0.1555 0.2450 0.0608  9 O 2.76-3.06
2 K 0.1555 0.2550 0.5608  9 O 2.76-3.06
3 K 0.8445 0.7450 0.4392  9 O 2.76-3.06
4 K 0.8445 0.7550 0.9392  9 O 2.76-3.06
5 H 0.2316 0.5924 0.4924  1 O 1.04
6 H 0.2316 0.9076 0.9924  1 O 1.04
7 H 0.2344 0.6204 0.8444  1 O 1.06
8 H 0.2344 0.8796 0.3444  1 O 1.06
9 H 0.3406 0.5659 0.1974  1 O 1.10
10 H 0.3406 0.9341 0.6974  1 O 1.10
11 H 0.6594 0.0659 0.3026  1 O 1.10
12 H 0.6594 0.4341 0.8026  1 O 1.10
13 H 0.7656 0.1204 0.6556  1 O 1.06
14 H 0.7656 0.3796 0.1556  1 O 1.06
15 H 0.7684 0.0924 0.0076  1 O 1.04
16 H 0.7684 0.4076 0.5076  1 O 1.04
17 S 0.0693 0.5015 0.2648  4 O 1.45-1.56
18 S 0.0693 0.9985 0.7648  4 O 1.45-1.56
19 S 0.4237 0.7093 0.0677  4 O 1.44-1.54
20 S 0.4237 0.7907 0.5677  4 O 1.44-1.54
21 S 0.5763 0.2093 0.4323  4 O 1.44-1.54
22 S 0.5763 0.2907 0.9323  4 O 1.44-1.54
23 S 0.9307 0.0015 0.2352  4 O 1.45-1.56
24 S 0.9307 0.4985 0.7352  4 O 1.45-1.56
25 O 0.0334 0.6107 0.7517  1 H 1.44, 1 S 1.48
26 O 0.0334 0.8893 0.2517  1 H 1.44, 1 S 1.48
27 O 0.0496 0.1051 0.2802  1 S 1.45
28 O 0.0496 0.3949 0.7802  1 S 1.45
29 O 0.1960 0.0098 0.6722  1 H 1.35, 1 S 1.49
30 O 0.1960 0.4902 0.1722  1 H 1.35, 1 S 1.49
31 O 0.1964 0.5064 0.4532  1 H 1.04
32 O 0.1964 0.9936 0.9532  1 H 1.04
33 O 0.2550 0.7193 0.5436  1 S 1.47, 1 H 1.50
34 O 0.2550 0.7807 0.0436  1 S 1.47, 1 H 1.50
35 O 0.3816 0.6324 0.9131  1 H 1.06
36 O 0.3816 0.8676 0.4131  1 H 1.06
37 O 0.4027 0.2280 0.9002  1 S 1.44
38 O 0.4027 0.2720 0.4002  1 S 1.44
39 O 0.4585 0.6259 0.2132  1 H 1.10
40 O 0.4585 0.8741 0.7132  1 H 1.10
41 O 0.5415 0.1259 0.2868  1 H 1.10
42 O 0.5415 0.3741 0.7868  1 H 1.10
43 O 0.5973 0.7280 0.5998  1 S 1.44
44 O 0.5973 0.7720 0.0998  1 S 1.44
45 O 0.6184 0.1324 0.5869  1 H 1.06
46 O 0.6184 0.3676 0.0869  1 H 1.06
47 O 0.7450 0.2193 0.9564  1 S 1.47, 1 H 1.50
48 O 0.7450 0.2807 0.4564  1 S 1.47, 1 H 1.50
49 O 0.8036 0.0064 0.0468  1 H 1.04
50 O 0.8036 0.4936 0.5468  1 H 1.04
51 O 0.8040 0.5098 0.8278  1 H 1.35, 1 S 1.49
52 O 0.8040 0.9902 0.3278  1 H 1.35, 1 S 1.49
53 O 0.9504 0.6051 0.2198  1 S 1.45
54 O 0.9504 0.8949 0.7198  1 S 1.45
55 O 0.9666 0.1107 0.7483  1 H 1.44, 1 S 1.48
56 O 0.9666 0.3893 0.2483  1 H 1.44, 1 S 1.48

Results
**Mass density**: 2.22 Mg/m³
**VASP energy**: -5.8245 eV per atom
**Magnetic moment**: 0.0 μB per formula unit
**Calculated volume**: 12.523 Å³/atom

---

LiV2P3O12 | PBEsol | relaxed

Cell lengths 8.3929, 8.3929, 8.3933 Å; angles 119.36, 119.36, 60.64 degrees
Closest atoms and distances in Å follow each position.
Sites, in units of the cell vectors:
1 Li 0.2490 0.7510 0.5000  6 O 2.19-2.21
2 Li 0.7510 0.2490 0.0000  6 O 2.19-2.21
3 V 0.1099 0.6098 0.6400  6 O 1.86-1.94
4 V 0.3901 0.8900 0.3598  6 O 1.86-1.94
5 V 0.6098 0.1099 0.1400  6 O 1.86-1.94
6 V 0.8900 0.3901 0.8598  6 O 1.86-1.94
7 P 0.9999 0.7900 0.0400  4 O 1.54
8 P 0.2099 0.2900 0.2500  4 O 1.54
9 P 0.2900 0.2099 0.7500  4 O 1.54
10 P 0.4999 0.7099 0.9599  4 O 1.54
11 P 0.7099 0.4999 0.4599  4 O 1.54
12 P 0.7900 0.9999 0.5400  4 O 1.54
13 O 0.0152 0.3060 0.0838  1 P 1.54
14 O 0.0593 0.7485 0.8733  1 P 1.54
15 O 0.1233 0.2515 0.8093  1 P 1.54
16 O 0.1660 0.8060 0.2347  1 P 1.54
17 O 0.1938 0.4847 0.4160  1 P 1.54
18 O 0.2484 0.3766 0.6907  1 P 1.54
19 O 0.2515 0.1233 0.3093  1 P 1.54
20 O 0.3060 0.0152 0.5838  1 P 1.54
21 O 0.3338 0.6939 0.7652  1 P 1.54
22 O 0.3766 0.2484 0.1907  1 P 1.54
23 O 0.4406 0.7514 0.1266  1 P 1.54
24 O 0.4847 0.1938 0.9160  1 P 1.54
25 O 0.5152 0.6661 0.4438  1 P 1.54
26 O 0.5593 0.8766 0.0014  1 P 1.54
27 O 0.6234 0.9405 0.4984  1 P 1.54
28 O 0.6661 0.5152 0.9438  1 P 1.54
29 O 0.6939 0.3338 0.2652  1 P 1.54
30 O 0.7485 0.0593 0.3733  1 P 1.54
31 O 0.7514 0.4406 0.6266  1 P 1.54
32 O 0.8060 0.1660 0.7347  1 P 1.54
33 O 0.8339 0.9848 0.0561  1 P 1.54
34 O 0.8766 0.5593 0.5014  1 P 1.54
35 O 0.9405 0.6234 0.9984  1 P 1.54
36 O 0.9848 0.8339 0.5561  1 P 1.54

Results
**Formation energy from raw total energies**: -2.2985 eV/atom
**Mass density**: 3.08 Mg/m³
**VASP energy**: -7.9430 eV per atom
**Magnetic moment**: 2.0 μB per formula unit
**Calculated volume**: 11.780 Å³/atom

---

AgWBr2 | PBEsol | relaxed

Cell lengths 6.7292, 6.7292, 6.7292 Å; angles 154.15, 140.55, 47.77 degrees
Closest atoms and distances in Å follow each position.
Sites, in units of the cell vectors:
1 Ag 0.0000 0.0000 0.0000  2 W 2.85, 2 Ag 3.01, 6 Br 3.06-3.18
2 W 0.8031 0.3031 0.5000  6 Br 2.57-2.75, 2 Ag 2.85
3 Br 0.3339 0.8339 0.5000  4 W 2.75, 2 Br 3.01, 2 Ag 3.06
4 Br 0.6337 0.6337 0.0000  2 W 2.57

Results
**Formation energy from raw total energies**: 0.6448 eV/atom
**Mass density**: 8.91 Mg/m³
**VASP energy**: -4.5699 eV per atom
**Magnetic moment**: 0.0 μB per formula unit
**Calculated volume**: 21.036 Å³/atom

---

CaY3Co | PBEsol | relaxed

Cell lengths 5.2884, 5.2884, 5.2884 Å; angles 90.00, 90.00, 90.00 degrees
Closest atoms and distances in Å follow each position.
Sites, in units of the cell vectors:
1 Ca 0.0000 0.0000 0.0000  6 Y 2.64
2 Y 0.0000 0.0000 0.5000  2 Ca 2.64
3 Y 0.0000 0.5000 0.0000  2 Ca 2.64
4 Y 0.5000 0.0000 0.0000  2 Ca 2.64
5 Co 0.5000 0.5000 0.5000  12 Y 3.74

Results
**Mass density**: 4.11 Mg/m³
**Energy of formation**: 1.581 eV per atom
**VASP energy**: -4.4862 eV per atom
**Magnetic moment**: 2.4 μB per formula unit
**Calculated volume**: 29.581 Å³/atom

---

MgBe2P | PBEsol | relaxed

Cell lengths 5.2397, 5.2397, 2.7217 Å; angles 103.37, 103.37, 124.81 degrees
Closest atoms and distances in Å follow each position.
Sites, in units of the cell vectors:
1 Mg 0.0000 0.0000 0.0000  4 P 2.43-2.59, 4 Be 2.62
2 Be 0.0000 0.5000 0.0000  4 Be 2.43-2.59, 2 Mg 2.62, 2 P 2.62
3 Be 0.5000 0.0000 0.0000  4 Be 2.43-2.59, 2 Mg 2.62, 2 P 2.62
4 P 0.5000 0.5000 0.0000  4 Mg 2.43-2.59, 4 Be 2.62

Results
**Mass density**: 2.29 Mg/m³
**Energy of formation**: 0.380 eV per atom
**VASP energy**: -3.4975 eV per atom
**Magnetic moment**: 0.0 μB per formula unit
**Calculated volume**: 13.290 Å³/atom

---

CaMg2Zr | PBEsol | relaxed

Cell lengths 5.2750, 5.2750, 3.5266 Å; angles 90.00, 90.00, 90.00 degrees
Closest atoms and distances in Å follow each position.
Sites, in units of the cell vectors:
1 Ca 0.0000 0.0000 0.0000  8 Mg 3.17, 2 Ca 3.53
2 Mg 0.0000 0.5000 0.5000  4 Zr 3.17, 4 Ca 3.17, 2 Mg 3.53
3 Mg 0.5000 0.0000 0.5000  4 Zr 3.17, 4 Ca 3.17, 2 Mg 3.53
4 Zr 0.5000 0.5000 0.0000  8 Mg 3.17, 2 Zr 3.53

Results
**Mass density**: 3.04 Mg/m³
**Energy of formation**: 0.130 eV per atom
**VASP energy**: -3.5346 eV per atom
**Magnetic moment**: 0.4 μB per formula unit
**Calculated volume**: 24.532 Å³/atom

---

ReSiP2Ir | PBEsol | relaxed

Cell lengths 4.4629, 4.4629, 4.6278 Å; angles 90.00, 90.00, 90.00 degrees
Closest atoms and distances in Å follow each position.
Sites, in units of the cell vectors:
1 Re 0.0000 0.0000 0.0000  4 P 2.23, 2 Si 2.31
2 Si 0.0000 0.0000 0.5000  2 Re 2.31
3 P 0.0000 0.5000 0.0000  2 Re 2.23
4 P 0.5000 0.0000 0.0000  2 Re 2.23
5 Ir 0.5000 0.5000 0.5000  4 Si 3.16, 8 P 3.21

Results
**Formation energy from raw total energies**: 1.1338 eV/atom
**Mass density**: 8.44 Mg/m³
**VASP energy**: -6.9632 eV per atom
**Magnetic moment**: 0.0 μB per formula unit
**Calculated volume**: 18.435 Å³/atom

---

Ba4TbRu3O12 | PBEsol | relaxed

Cell lengths 10.2834, 10.2834, 10.2834 Å; angles 33.02, 33.02, 33.02 degrees
Closest atoms and distances in Å follow each position.
Sites, in units of the cell vectors:
1 Ba 0.1292 0.1292 0.1292  12 O 2.93-3.06
2 Ba 0.2852 0.2852 0.2852  12 O 2.87-3.12
3 Ba 0.7148 0.7148 0.7148  12 O 2.87-3.12
4 Ba 0.8708 0.8708 0.8708  12 O 2.93-3.06
5 Tb 0.0000 0.0000 0.0000  6 O 2.20
6 Ru 0.4138 0.4138 0.4138  6 O 1.91-2.03
7 Ru 0.5000 0.5000 0.5000  6 O 1.99
8 Ru 0.5862 0.5862 0.5862  6 O 1.91-2.03
9 O 0.1473 0.6132 0.6132  2 Ru 1.99-2.03
10 O 0.2204 0.2204 0.6912  1 Ru 1.91
11 O 0.2204 0.6912 0.2204  1 Ru 1.91
12 O 0.3088 0.7796 0.7796  1 Ru 1.91
13 O 0.3868 0.3868 0.8527  2 Ru 1.99-2.03
14 O 0.3868 0.8527 0.3868  2 Ru 1.99-2.03
15 O 0.6132 0.1473 0.6132  2 Ru 1.99-2.03
16 O 0.6132 0.6132 0.1473  2 Ru 1.99-2.03
17 O 0.6912 0.2204 0.2204  1 Ru 1.91
18 O 0.7796 0.3088 0.7796  1 Ru 1.91
19 O 0.7796 0.7796 0.3088  1 Ru 1.91
20 O 0.8527 0.3868 0.3868  2 Ru 1.99-2.03

Results
**Formation energy from raw total energies**: -2.1642 eV/atom
**Mass density**: 6.95 Mg/m³
**VASP energy**: -7.5200 eV per atom
**Magnetic moment**: 2.7 μB per formula unit
**Calculated volume**: 14.371 Å³/atom

---

HgIrPb | PBEsol | relaxed

Cell lengths 4.5765, 4.5765, 4.5765 Å; angles 60.00, 60.00, 60.00 degrees
Closest atoms and distances in Å follow each position.
Sites, in units of the cell vectors:
1 Hg 0.0000 0.0000 0.0000  4 Pb 2.80
2 Ir 0.5000 0.5000 0.5000  4 Pb 2.80
3 Pb 0.2500 0.2500 0.2500  4 Hg 2.80, 4 Ir 2.80

Results
**Mass density**: 14.70 Mg/m³
**Energy of formation**: 0.857 eV per atom
**VASP energy**: -3.9397 eV per atom
**Magnetic moment**: 0.0 μB per formula unit
**Calculated volume**: 22.592 Å³/atom

---

TaCrW2 | PBEsol | relaxed

Cell lengths 3.1079, 3.1079, 6.2301 Å; angles 90.00, 90.00, 90.00 degrees
Closest atoms and distances in Å follow each position.
Sites, in units of the cell vectors:
1 Ta 0.0000 0.0000 0.0000  4 Cr 2.67, 5 W 2.75-2.99
2 Cr 0.5000 0.5000 0.7552  4 W 2.64, 4 Ta 2.67
3 W 0.0000 0.0000 0.5194  4 Cr 2.64, 4 W 2.70
4 W 0.5000 0.5000 0.2663  4 W 2.70, 4 Ta 2.75

Results
**Mass density**: 16.57 Mg/m³
**Energy of formation**: -0.022 eV per atom
**VASP energy**: -12.6239 eV per atom
**Magnetic moment**: 0.0 μB per formula unit
**Calculated volume**: 15.044 Å³/atom

---

Mn2TlPtCl | PBEsol | relaxed

Cell lengths 5.0875, 5.0875, 5.0731 Å; angles 90.00, 90.00, 90.00 degrees
Closest atoms and distances in Å follow each position.
Sites, in units of the cell vectors:
1 Mn 0.0000 0.5000 0.0000  2 Tl 2.54
2 Mn 0.5000 0.0000 0.0000  2 Tl 2.54
3 Tl 0.0000 0.0000 0.0000  2 Cl 2.54, 4 Mn 2.54
4 Pt 0.5000 0.5000 0.5000  8 Mn 3.59, 4 Cl 3.60
5 Cl 0.0000 0.0000 0.5000  2 Tl 2.54

Results
**Formation energy from raw total energies**: 1.5929 eV/atom
**Mass density**: 6.89 Mg/m³
**VASP energy**: -4.6318 eV per atom
**Magnetic moment**: 8.5 μB per formula unit
**Calculated volume**: 26.261 Å³/atom

---

Mn2CrSi | PBEsol | relaxed

Cell lengths 2.7813, 2.7813, 5.4866 Å; angles 90.00, 90.00, 90.00 degrees
Closest atoms and distances in Å follow each position.
Sites, in units of the cell vectors:
1 Mn 0.0000 0.0000 0.2489  4 Cr 2.39, 4 Si 2.40
2 Mn 0.0000 0.0000 0.7511  4 Cr 2.39, 4 Si 2.40
3 Cr 0.5000 0.5000 0.0000  8 Mn 2.39
4 Si 0.5000 0.5000 0.5000  8 Mn 2.40

Results
**Formation energy from raw total energies**: -0.3038 eV/atom
**Mass density**: 7.43 Mg/m³
**VASP energy**: -9.1815 eV per atom
**Magnetic moment**: 0.0 μB per formula unit
**Calculated volume**: 10.611 Å³/atom

---

The lowest calculated volume belongs to which entry?
Mn2CrSi